(1)
# RuPt3 GGA-PBEsol relaxed
# crystal system: orthorhombic
data_RuPt3
_symmetry_space_group_name_H-M 'P m m m'
_symmetry_Int_Tables_number 47
_cell_length_a 2.7380
_cell_length_b 3.8723
_cell_length_c 5.4805
_cell_angle_alpha 90.00
_cell_angle_beta 90.00
_cell_angle_gamma 90.00
loop_
_symmetry_equiv_pos_as_xyz
'x,y,z'
'-x,-y,-z'
'-x,-y,z'
'x,y,-z'
'x,-y,-z'
'-x,y,z'
'-x,y,-z'
'x,-y,z'
loop_
_atom_site_label
_atom_site_fract_x
_atom_site_fract_y
_atom_site_fract_z
_atom_site_occupancy
Ru1 0.0000 0.0000 0.0000 1
Pt1 0.0000 0.0000 0.5000 1
Pt2 0.5000 0.5000 0.2419 1

(2)
# Ru3Pt GGA-PBEsol relaxed
# crystal system: orthorhombic
data_Ru3Pt
_symmetry_space_group_name_H-M 'C m m m'
_symmetry_Int_Tables_number 65
_symmetry_space_group_name_Hall '-C 2 2'
_cell_length_a 5.3616
_cell_length_b 7.6203
_cell_length_c 2.6801
_cell_angle_alpha 90.00
_cell_angle_beta 90.00
_cell_angle_gamma 90.00
loop_
_atom_site_label
_atom_site_fract_x
_atom_site_fract_y
_atom_site_fract_z
_atom_site_occupancy
Ru1 0.0000 0.0000 0.0000 1
Ru2 0.2500 0.2500 0.5000 1
Pt1 0.0000 0.5000 0.0000 1

(3)
# Ru2Pt GGA-PBEsol relaxed
# crystal system: tetragonal
# excess energy over the best structure of this formula in the dataset: 1109 meV per atom
data_Ru2Pt
_symmetry_space_group_name_H-M 'P 4/m m m'
_symmetry_Int_Tables_number 123
_symmetry_space_group_name_Hall '-P 4 2'
_cell_length_a 4.4270
_cell_length_b 4.4270
_cell_length_c 2.6255
_cell_angle_alpha 90.00
_cell_angle_beta 90.00
_cell_angle_gamma 90.00
loop_
_atom_site_label
_atom_site_fract_x
_atom_site_fract_y
_atom_site_fract_z
_atom_site_occupancy
Ru1 0.0000 0.5000 0.0000 1
Pt1 0.0000 0.0000 0.5000 1

(4)
# RuPt3 GGA-PBEsol relaxed
# crystal system: orthorhombic
data_RuPt3
_symmetry_space_group_name_H-M 'C m m m'
_symmetry_Int_Tables_number 65
_symmetry_space_group_name_Hall '-C 2 2'
_cell_length_a 5.4747
_cell_length_b 7.7818
_cell_length_c 2.7310
_cell_angle_alpha 90.00
_cell_angle_beta 90.00
_cell_angle_gamma 90.00
loop_
_atom_site_label
_atom_site_fract_x
_atom_site_fract_y
_atom_site_fract_z
_atom_site_occupancy
Ru1 0.0000 0.0000 0.0000 1
Pt1 0.0000 0.5000 0.0000 1
Pt2 0.2500 0.2500 0.5000 1

(5)
# Ru2Pt GGA-PBEsol relaxed
# crystal system: orthorhombic
# excess energy over the best structure of this formula in the dataset: 32 meV per atom
data_Ru2Pt
_symmetry_space_group_name_H-M 'C m c m'
_symmetry_Int_Tables_number 63
_symmetry_space_group_name_Hall '-C 2c 2'
_cell_length_a 3.8020
_cell_length_b 11.4479
_cell_length_c 3.8053
_cell_angle_alpha 90.00
_cell_angle_beta 90.00
_cell_angle_gamma 90.00
loop_
_atom_site_label
_atom_site_fract_x
_atom_site_fract_y
_atom_site_fract_z
_atom_site_occupancy
Ru1 0.0000 0.0896 0.2500 1
Ru2 0.0000 0.2527 0.7500 1
Pt1 0.0000 0.4148 0.2500 1

(6)
# RuPt3 GGA-PBEsol relaxed
# crystal system: orthorhombic
data_RuPt3
_symmetry_space_group_name_H-M 'P m m n'
_symmetry_Int_Tables_number 59
_cell_length_a 4.5523
_cell_length_b 5.4402
_cell_length_c 4.7182
_cell_angle_alpha 90.00
_cell_angle_beta 90.00
_cell_angle_gamma 90.00
loop_
_symmetry_equiv_pos_as_xyz
'x,y,z'
'-x,-y,-z'
'-x+1/2,-y+1/2,z'
'x+1/2,y+1/2,-z'
'x+1/2,-y,-z'
'-x+1/2,y,z'
'-x,y+1/2,-z'
'x,-y+1/2,z'
loop_
_atom_site_label
_atom_site_fract_x
_atom_site_fract_y
_atom_site_fract_z
_atom_site_occupancy
Ru1 0.2500 0.2500 0.1667 1
Pt1 0.2500 0.0009 0.6678 1
Pt2 0.2500 0.7500 0.1609 1

no.,ΔH_f (0 K) (eV/atom)
1,0.013
2,0.082
3,1.097
4,0.063
5,0.020
6,0.091